Entry 1:
An optimized crystal structure of In2Hg2I, computed with GGA-PBE.

a b c (Å): 5.6678 5.6678 10.4044
angles (deg): 90.00 90.00 90.00
With the nearest neighbours (Å) after each atom.
Space group I4/mmm (No. 139)
Inequivalent atoms, fractional coordinates:
In: 0.0000 0.5000 0.2500  4 Hg 3.04
Hg: 0.0000 0.0000 0.1448  1 Hg 3.01, 4 In 3.04
I: 0.0000 0.0000 0.5000  2 Hg 3.70, 8 In 3.85

ΔE_f (raw)	-72	meV/atom
ΔE to the lowest computed polymorph	0.042	eV/atom


Entry 2:
An optimized crystal structure of BeTe2Ir, computed with GGA-PBE.

a b c (Å): 3.4315 3.4315 24.5601
angles (deg): 90.00 90.00 120.00
With the nearest neighbours (Å) after each atom.
Space group R-3m (No. 166, hexagonal axes)
Inequivalent atoms, fractional coordinates:
Be: 0.0000 0.0000 0.0000  6 Te 2.52
Te: 0.0000 0.0000 0.3968  3 Be 2.52, 1 Ir 2.54
Ir: 0.0000 0.0000 0.5000  2 Te 2.54

ΔE_f (raw)	555	meV/atom